First-principles (PBE) data for an optimized crystal structure of LaNd2Y2Tm, as listed in Alexandria via LeMat-Bulk.

## Properties
The raw total energy is -62.776 eV for the cell shown. The value obtained for the energy relative to the elements is 79 meV per atom. Its symmetry is No. 26.

Structure (POSCAR):
```
LaNd2Y2Tm
1.0
5.7162 0.0000 0.0000
0.0000 10.0855 0.0000
0.0000 0.0000 7.0227
La Nd Y Tm
2 4 4 2
Direct
0.0000 0.1801 0.0000
0.0000 0.8199 0.5000
0.0000 0.4854 0.3146
0.0000 0.5146 0.8146
0.5000 0.3067 0.5745
0.5000 0.6933 0.0745
0.0000 0.1422 0.5079
0.0000 0.8578 0.0079
0.5000 0.3589 0.0697
0.5000 0.6411 0.5697
0.5000 0.0160 0.2612
0.5000 0.9840 0.7612
```